Below is a relaxed structure of PuUCrPt, with properties calculated at the PBE level.

a b c (Å): 4.6530 4.6530 4.6530
angles (deg): 60.00 60.00 60.00
Sites, in units of the cell vectors:
Pt  0.0000  0.0000  0.0000
Cr  0.2500  0.2500  0.2500
Pu  0.7500  0.7500  0.7500
U  0.5000  0.5000  0.5000

DFT formation energy (eV per formula unit): -1.109
Theoretical density (g cm⁻³): 17.0
V (A^3/atom): 17.81
Density of states at the Fermi level (states/eV/atom): 1.2503